Below is an optimized crystal structure of BeNi6Mo, with properties calculated at the PBE-GGA level.

The crystal system is orthorhombic. The calculated total energy comes out at -401.89 eV for the cell shown. For the energy of formation from the pure elements, the calculation gives -0.12 eV per atom. The total magnetization comes out at 0.0 μB per formula unit. As for the density of states at the Fermi level: 2.812 states/eV/f.u.

The structure belongs to space group Cmmm (No. 65); the cell edges are 7.034, 10.048 and 10.045 Å and the angles 90.00°, 90.00° and 90.00°. Symmetry generates all atoms from Be at (0.000, 0.000, 0.236), Be at (0.000, 0.260, 0.000), Ni at (0.000, 0.000, 0.000), Ni at (0.000, 0.000, 0.500), Ni at (0.000, 0.249, 0.246), Ni at (0.000, 0.500, 0.000), Ni at (0.000, 0.500, 0.500), Ni at (0.244, 0.123, 0.372), Ni at (0.245, 0.125, 0.122), Mo at (0.000, 0.256, 0.500) and Mo at (0.000, 0.500, 0.240).